(1)
PBE Ce2NdMoN5, optimized geometry; formation energy from raw total energies = -1.1516 eV per atom; magnetic moment = 1.011 μB/f.u.; E_tot = -8.83 eV per atom; Fermi-level density of states = 8.1 states/eV/f.u.
1.0
6.696 0.000 0.000
0.000 6.696 0.000
-3.348 -3.348 5.806
Ce Nd Mo N
4 2 2 10
direct
0.173 0.327 0.000
0.673 0.173 0.000
0.327 0.827 0.000
0.827 0.673 0.000
0.250 0.250 0.500
0.750 0.750 0.500
0.250 0.750 0.500
0.750 0.250 0.500
0.993 0.493 0.292
0.700 0.200 0.708
0.007 0.507 0.708
0.200 0.007 0.708
0.507 0.700 0.708
0.800 0.993 0.292
0.493 0.300 0.292
0.300 0.800 0.292
0.500 0.500 0.000
0.000 0.000 0.000

***

(2)
PBE Tb5Si2Te2, optimized geometry; formation energy from raw total energies = -1.0161 eV per atom; magnetic moment = 0.001 μB/f.u.; E_tot = -5.49 eV per atom; Fermi-level density of states = 8.3 states/eV/f.u.
1.0
-5.398 5.350 -1.789
-4.473 -5.588 -3.216
-6.091 1.508 5.850
Tb Si Te
10 4 4
direct
0.000 0.000 0.000
0.500 0.500 0.000
0.459 0.166 0.751
0.790 0.834 0.751
0.290 0.666 0.751
0.959 0.334 0.751
0.541 0.834 0.249
0.210 0.166 0.249
0.710 0.334 0.249
0.041 0.666 0.249
0.132 0.369 0.000
0.868 0.631 0.000
0.368 0.869 0.000
0.632 0.131 0.000
0.205 0.000 0.589
0.705 0.500 0.589
0.795 0.000 0.411
0.295 0.500 0.411

***

(3)
PBE KSr2Ge2, optimized geometry; magnetic moment = 0.000 μB/f.u.; DFT formation energy = -0.99 eV/f.u.; E_tot = -2.94 eV per atom; Fermi-level density of states = 6.5 states/eV/f.u.
1.0
5.537 0.000 0.000
0.000 5.537 0.000
2.769 2.769 5.983
Sr Ge K
2 2 1
direct
0.750 0.250 0.500
0.250 0.750 0.500
0.395 0.395 0.209
0.605 0.605 0.791
0.000 0.000 0.000